[1]
Computed, not measured: an optimized crystal structure of Tb4Ho5Th2 at the PBE-GGA level of DFT.

Cell: 3.5341 8.8576 11.1638 Å, 90.71 90.64 90.21°
Last column: nearest neighbours and their distance in Å.
Fractional positions:
Tb  0.2098  0.0870  0.2610  5 Ho 3.19-3.54, 1 Th 3.44, 2 Tb 3.53
Tb  0.2450  0.2696  0.7966  6 Ho 3.43-3.79, 2 Th 3.49-3.53, 4 Tb 3.53-3.76
Tb  0.7550  0.7304  0.2034  6 Ho 3.43-3.79, 2 Th 3.49-3.53, 4 Tb 3.53-3.76
Tb  0.7902  0.9130  0.7390  5 Ho 3.19-3.54, 1 Th 3.44, 2 Tb 3.53
Ho  0.2389  0.6394  0.9119  5 Ho 3.45-3.67, 5 Tb 3.49-3.79, 2 Th 3.59-3.67
Ho  0.2594  0.8186  0.4782  5 Tb 3.42-3.63, 3 Th 3.45-3.52, 4 Ho 3.53-3.73
Ho  0.5000  0.0000  0.0000  4 Tb 3.19-3.43, 4 Ho 3.45-3.53
Ho  0.7406  0.1814  0.5218  5 Tb 3.42-3.63, 3 Th 3.45-3.52, 4 Ho 3.53-3.73
Ho  0.7611  0.3606  0.0881  5 Ho 3.45-3.67, 5 Tb 3.49-3.79, 2 Th 3.59-3.67
Th  0.2473  0.4554  0.3631  3 Tb 3.44-3.53, 5 Ho 3.45-3.67, 4 Th 3.53-3.62
Th  0.7527  0.5446  0.6369  3 Tb 3.44-3.53, 5 Ho 3.45-3.67, 4 Th 3.53-3.62

Properties
E in eV per atom: -5.059

***

[2]
Computed, not measured: an optimized crystal structure of Tb3Ho2Th at the PBE-GGA level of DFT.

Cell: 8.8317 8.8317 8.8317 Å, 102.51 94.36 135.02°
Last column: nearest neighbours and their distance in Å.
Fractional positions:
Tb  0.0168  0.7500  0.2668  3 Tb 3.20-3.38, 2 Th 3.27, 4 Ho 3.32-3.37
Tb  0.2500  0.2500  0.0000  4 Tb 3.20-3.38
Tb  0.4832  0.7500  0.7332  3 Tb 3.20-3.38, 2 Th 3.27, 4 Ho 3.32-3.37
Tb  0.5168  0.2500  0.2668  3 Tb 3.20-3.38, 2 Th 3.27, 4 Ho 3.32-3.37
Tb  0.7500  0.7500  0.0000  4 Tb 3.20-3.38
Tb  0.9832  0.2500  0.7332  3 Tb 3.20-3.38, 2 Th 3.27, 4 Ho 3.32-3.37
Ho  0.1839  0.2422  0.4260  4 Tb 3.32-3.37, 1 Th 3.60
Ho  0.3161  0.7422  0.0583  4 Tb 3.32-3.37, 1 Th 3.60
Ho  0.6839  0.2578  0.9417  4 Tb 3.32-3.37, 1 Th 3.60
Ho  0.8161  0.7578  0.5740  4 Tb 3.32-3.37, 1 Th 3.60
Th  0.0000  0.5000  0.5000  4 Tb 3.27, 2 Th 3.38, 2 Ho 3.60
Th  0.5000  0.0000  0.5000  4 Tb 3.27, 2 Th 3.38, 2 Ho 3.60

Properties
ΔE to the lowest computed polymorph in eV/f.u.: 2.29
E in eV per atom: -4.459

***

[3]
Computed, not measured: an optimized crystal structure of Tb7Ho4Th at the PBE-GGA level of DFT.

Cell: 6.1974 7.1647 8.8415 Å, 89.98 76.27 89.97°
Last column: nearest neighbours and their distance in Å.
Fractional positions:
Tb  0.0000  0.0000  0.0000  4 Ho 3.52-3.56, 6 Tb 3.52-3.59, 2 Th 3.58
Tb  0.2187  0.5001  0.3309  1 Th 3.50, 6 Tb 3.51-3.61, 5 Ho 3.55-3.61
Tb  0.2763  0.2508  0.6678  1 Th 3.52, 6 Ho 3.52-3.59, 5 Tb 3.52-3.61
Tb  0.5000  0.2535  0.0000  7 Tb 3.51-3.63, 3 Ho 3.53-3.57, 2 Th 3.57
Tb  0.5000  0.7465  0.0000  7 Tb 3.51-3.63, 3 Ho 3.53-3.57, 2 Th 3.57
Tb  0.7237  0.7492  0.3322  1 Th 3.52, 6 Ho 3.52-3.59, 5 Tb 3.52-3.61
Tb  0.7813  0.4999  0.6691  1 Th 3.50, 6 Tb 3.51-3.61, 5 Ho 3.55-3.61
Ho  0.2214  0.0001  0.3370  4 Ho 3.48-3.59, 8 Tb 3.52-3.59
Ho  0.2759  0.7494  0.6684  1 Th 3.51, 8 Tb 3.52-3.61, 3 Ho 3.52-3.59
Ho  0.7241  0.2506  0.3316  1 Th 3.51, 8 Tb 3.52-3.61, 3 Ho 3.52-3.59
Ho  0.7786  0.9999  0.6630  4 Ho 3.48-3.59, 8 Tb 3.52-3.59
Th  0.0000  0.5000  0.0000  10 Tb 3.50-3.58, 2 Ho 3.51

Properties
ΔE to the lowest computed polymorph in eV/f.u.: 0.00
E in eV per atom: -4.841

***

[4]
Computed, not measured: an optimized crystal structure of Tb6Ho8Th at the PBE-GGA level of DFT.

Cell: 8.6023 8.6023 8.6023 Å, 63.12 63.12 63.12°
Last column: nearest neighbours and their distance in Å.
Fractional positions:
Tb  0.0374  0.7305  0.6050  4 Ho 3.36-3.68, 1 Th 3.44, 4 Tb 3.47-3.75
Tb  0.2695  0.3950  0.9626  4 Ho 3.36-3.68, 1 Th 3.44, 4 Tb 3.47-3.75
Tb  0.3950  0.9626  0.2695  4 Ho 3.36-3.68, 1 Th 3.44, 4 Tb 3.47-3.75
Tb  0.6050  0.0374  0.7305  4 Ho 3.36-3.68, 1 Th 3.44, 4 Tb 3.47-3.75
Tb  0.7305  0.6050  0.0374  4 Ho 3.36-3.68, 1 Th 3.44, 4 Tb 3.47-3.75
Tb  0.9626  0.2695  0.3950  4 Ho 3.36-3.68, 1 Th 3.44, 4 Tb 3.47-3.75
Ho  0.0771  0.0771  0.0771  4 Ho 3.17-3.40, 3 Tb 3.37
Ho  0.2193  0.2501  0.6122  3 Tb 3.36-3.68, 5 Ho 3.40-3.43, 1 Th 3.48
Ho  0.2501  0.6122  0.2193  3 Tb 3.36-3.68, 5 Ho 3.40-3.43, 1 Th 3.48
Ho  0.3878  0.7807  0.7499  3 Tb 3.36-3.68, 5 Ho 3.40-3.43, 1 Th 3.48
Ho  0.6122  0.2193  0.2501  3 Tb 3.36-3.68, 5 Ho 3.40-3.43, 1 Th 3.48
Ho  0.7499  0.3878  0.7807  3 Tb 3.36-3.68, 5 Ho 3.40-3.43, 1 Th 3.48
Ho  0.7807  0.7499  0.3878  3 Tb 3.36-3.68, 5 Ho 3.40-3.43, 1 Th 3.48
Ho  0.9229  0.9229  0.9229  4 Ho 3.17-3.40, 3 Tb 3.37
Th  0.5000  0.5000  0.5000  6 Tb 3.44, 6 Ho 3.48

Properties
E in eV per atom: -4.664

***

[5]
Computed, not measured: an optimized crystal structure of Tb8HoTh2 at the PBE-GGA level of DFT.

Cell: 9.2107 9.2107 5.9474 Å, 105.47 105.47 121.65°
Last column: nearest neighbours and their distance in Å.
Fractional positions:
Tb  0.0999  0.3330  0.6751  4 Tb 3.24-3.57, 2 Th 3.46
Tb  0.2085  0.7915  0.0000  1 Ho 3.35, 2 Th 3.37, 6 Tb 3.57-3.72
Tb  0.3330  0.0999  0.6751  4 Tb 3.24-3.57, 2 Th 3.46
Tb  0.4230  0.4230  0.2057  3 Tb 2.98-3.24, 1 Ho 3.29
Tb  0.5770  0.5770  0.7943  3 Tb 2.98-3.24, 1 Ho 3.29
Tb  0.6670  0.9001  0.3249  4 Tb 3.24-3.57, 2 Th 3.46
Tb  0.7915  0.2085  0.0000  1 Ho 3.35, 2 Th 3.37, 6 Tb 3.57-3.72
Tb  0.9001  0.6670  0.3249  4 Tb 3.24-3.57, 2 Th 3.46
Ho  0.0000  0.0000  0.0000  4 Tb 3.29-3.35
Th  0.3066  0.6934  0.5000  8 Tb 3.37-3.46
Th  0.6934  0.3066  0.5000  8 Tb 3.37-3.46

Properties
E in eV per atom: -4.934

***

[6]
Computed, not measured: an optimized crystal structure of TbHo6Th at the PBE-GGA level of DFT.

Cell: 6.5344 6.6574 6.7397 Å, 60.72 83.52 88.05°
Last column: nearest neighbours and their distance in Å.
Fractional positions:
Tb  0.0000  0.0000  0.0000  2 Th 3.27, 4 Ho 3.36-3.41
Ho  0.2387  0.5670  0.5243  6 Ho 3.26-3.52, 1 Th 3.57
Ho  0.2485  0.5309  0.0229  6 Ho 3.22-3.56, 1 Tb 3.41, 1 Th 3.51
Ho  0.2577  0.0686  0.5091  6 Ho 3.22-3.56, 1 Tb 3.36
Ho  0.7423  0.9314  0.4909  6 Ho 3.22-3.56, 1 Tb 3.36
Ho  0.7515  0.4691  0.9771  6 Ho 3.22-3.56, 1 Tb 3.41, 1 Th 3.51
Ho  0.7613  0.4330  0.4757  6 Ho 3.26-3.52, 1 Th 3.57
Th  0.5000  0.0000  0.0000  2 Tb 3.27, 6 Ho 3.51-3.65

Properties
ΔE to the lowest computed polymorph in eV/f.u.: 1.57
E in eV per atom: -4.714

***

[7]
Computed, not measured: an optimized crystal structure of Tb4HoTh2 at the PBE-GGA level of DFT.

Cell: 3.5747 7.9308 8.7504 Å, 68.45 89.89 76.98°
Last column: nearest neighbours and their distance in Å.
Fractional positions:
Tb  0.0757  0.3476  0.2194  3 Th 3.48-3.50, 2 Ho 3.57-3.58, 7 Tb 3.57-3.67
Tb  0.3561  0.7906  0.0717  8 Tb 3.48-3.64, 3 Th 3.56-3.58, 1 Ho 3.57
Tb  0.6439  0.2094  0.9283  8 Tb 3.48-3.64, 3 Th 3.56-3.58, 1 Ho 3.57
Tb  0.9243  0.6524  0.7806  3 Th 3.48-3.50, 2 Ho 3.57-3.58, 7 Tb 3.57-3.67
Ho  0.5000  0.5000  0.5000  4 Th 3.54, 6 Tb 3.57-3.58, 2 Ho 3.57
Th  0.2131  0.0727  0.6395  6 Tb 3.48-3.58, 4 Th 3.53-3.57, 2 Ho 3.54
Th  0.7869  0.9273  0.3605  6 Tb 3.48-3.58, 4 Th 3.53-3.57, 2 Ho 3.54

Properties
ΔE to the lowest computed polymorph in eV/f.u.: 0.03
E in eV per atom: -5.392

***

[8]
Computed, not measured: an optimized crystal structure of Tb4Ho3Th at the PBE-GGA level of DFT.

Cell: 11.3643 7.2338 6.2456 Å, 90.00 90.00 90.00°
Last column: nearest neighbours and their distance in Å.
Fractional positions:
Tb  0.0000  0.1273  0.0000  6 Tb 3.52-3.65, 4 Ho 3.53-3.63, 2 Th 3.59-3.65
Tb  0.0000  0.8696  0.5028  4 Ho 3.53-3.68, 6 Tb 3.54-3.65, 2 Th 3.59-3.60
Tb  0.2504  0.1274  0.3431  1 Th 3.51, 5 Ho 3.52-3.68, 6 Tb 3.52-3.63
Tb  0.2496  0.8726  0.8431  1 Th 3.51, 5 Ho 3.52-3.68, 6 Tb 3.52-3.63
Tb  0.5000  0.1304  0.0028  4 Ho 3.53-3.68, 6 Tb 3.54-3.65, 2 Th 3.59-3.60
Tb  0.5000  0.8727  0.5000  6 Tb 3.52-3.65, 4 Ho 3.53-3.63, 2 Th 3.59-3.65
Tb  0.7496  0.1274  0.3431  1 Th 3.51, 5 Ho 3.52-3.68, 6 Tb 3.52-3.63
Tb  0.7504  0.8726  0.8431  1 Th 3.51, 5 Ho 3.52-3.68, 6 Tb 3.52-3.63
Ho  0.0000  0.3785  0.5029  4 Ho 3.50-3.51, 6 Tb 3.52-3.68, 2 Th 3.59
Ho  0.2494  0.3787  0.8315  4 Ho 3.50-3.58, 2 Th 3.51, 6 Tb 3.53-3.68
Ho  0.2506  0.6213  0.3315  4 Ho 3.50-3.58, 2 Th 3.51, 6 Tb 3.53-3.68
Ho  0.5000  0.6215  0.0029  4 Ho 3.50-3.51, 6 Tb 3.52-3.68, 2 Th 3.59
Ho  0.7494  0.6213  0.3315  4 Ho 3.50-3.58, 2 Th 3.51, 6 Tb 3.53-3.68
Ho  0.7506  0.3787  0.8315  4 Ho 3.50-3.58, 2 Th 3.51, 6 Tb 3.53-3.68
Th  0.0000  0.6232  0.0037  6 Ho 3.51-3.59, 6 Tb 3.51-3.65
Th  0.5000  0.3768  0.5037  6 Ho 3.51-3.59, 6 Tb 3.51-3.65

Properties
ΔE to the lowest computed polymorph in eV/f.u.: 0.00
E in eV per atom: -4.934

***

[9]
Computed, not measured: an optimized crystal structure of Tb3Ho6Th2 at the PBE-GGA level of DFT.

Cell: 6.1064 6.1064 11.5362 Å, 95.16 95.16 120.14°
Last column: nearest neighbours and their distance in Å.
Fractional positions:
Tb  0.0000  0.0000  0.0000  6 Tb 3.51-3.55, 6 Ho 3.52
Tb  0.3351  0.6649  0.0000  6 Tb 3.49-3.55, 6 Ho 3.51-3.53
Tb  0.6649  0.3351  0.0000  6 Tb 3.49-3.55, 6 Ho 3.51-3.53
Ho  0.0847  0.4179  0.2539  2 Th 3.46, 6 Ho 3.52-3.53, 3 Tb 3.52-3.53
Ho  0.2482  0.2482  0.7468  2 Th 3.45, 3 Tb 3.51-3.52, 6 Ho 3.52-3.53
Ho  0.4179  0.0847  0.2539  2 Th 3.46, 6 Ho 3.52-3.53, 3 Tb 3.52-3.53
Ho  0.5821  0.9153  0.7461  2 Th 3.46, 6 Ho 3.52-3.53, 3 Tb 3.52-3.53
Ho  0.7518  0.7518  0.2532  2 Th 3.45, 3 Tb 3.51-3.52, 6 Ho 3.52-3.53
Ho  0.9153  0.5821  0.7461  2 Th 3.46, 6 Ho 3.52-3.53, 3 Tb 3.52-3.53
Th  0.1649  0.8351  0.5000  6 Ho 3.45-3.46, 3 Th 3.49-3.54
Th  0.8351  0.1649  0.5000  6 Ho 3.45-3.46, 3 Th 3.49-3.54

Properties
E in eV per atom: -4.896

***

[10]
Computed, not measured: an optimized crystal structure of TbHo5Th at the PBE-GGA level of DFT.

Cell: 9.2646 9.2646 8.5987 Å, 93.93 93.93 141.49°
Last column: nearest neighbours and their distance in Å.
Fractional positions:
Tb  0.0131  0.9869  0.7500  2 Th 3.36, 6 Ho 3.47-3.70
Tb  0.9869  0.0131  0.2500  2 Th 3.36, 6 Ho 3.47-3.70
Ho  0.0395  0.7272  0.0390  6 Ho 3.25-3.64, 1 Tb 3.47, 1 Th 3.57
Ho  0.1117  0.4848  0.3542  8 Ho 3.30-3.64, 1 Tb 3.56, 1 Th 3.62
Ho  0.2728  0.9605  0.4610  6 Ho 3.25-3.64, 1 Tb 3.47, 1 Th 3.57
Ho  0.3519  0.6481  0.7500  6 Ho 3.25-3.44, 2 Th 3.37
Ho  0.4848  0.1117  0.8542  8 Ho 3.30-3.64, 1 Tb 3.56, 1 Th 3.62
Ho  0.5152  0.8883  0.1458  8 Ho 3.30-3.64, 1 Tb 3.56, 1 Th 3.62
Ho  0.6481  0.3519  0.2500  6 Ho 3.25-3.44, 2 Th 3.37
Ho  0.7272  0.0395  0.5390  6 Ho 3.25-3.64, 1 Tb 3.47, 1 Th 3.57
Ho  0.8883  0.5152  0.6458  8 Ho 3.30-3.64, 1 Tb 3.56, 1 Th 3.62
Ho  0.9605  0.2728  0.9610  6 Ho 3.25-3.64, 1 Tb 3.47, 1 Th 3.57
Th  0.5000  0.5000  0.0000  2 Tb 3.36, 6 Ho 3.37-3.62
Th  0.5000  0.5000  0.5000  2 Tb 3.36, 6 Ho 3.37-3.62

Properties
E in eV per atom: -4.796

***

Per-record size of the total moment, μB/f.u.: 0.0 0.0 0.0 0.0 0.0 0.0 0.0 0.0 0.0 0.0
Per-record density of states at the Fermi level, states/eV/f.u.: 16.688 11.501 17.433 22.727 13.607 15.194 9.582 13.972 16.703 11.161
Per-record energy relative to the elements, eV per atom: 0.055 0.619 0.004 0.125 0.198 0.226 0.028 0.025 0.212 0.195